DFT (PBE-GGA) results for a geometry-optimized AlZnPO structure.

Cell lengths 3.541, 5.886, 5.823 Å; angles 90.00, 90.00, 90.00 degrees
Element x y z (fractional)
Al: 0.000 0.200 0.000
Al: 0.000 0.800 0.500
Zn: 0.500 0.350 0.572
Zn: 0.500 0.650 0.072
P: 0.000 0.184 0.400
P: 0.000 0.816 0.900
O: 0.500 0.313 0.930
O: 0.500 0.687 0.430

Properties
Crystal system   orthorhombic
E_tot   -39.12 eV per cell
Symmetry   Pmc2_1, No. 26


DFT (PBE-GGA) results for a geometry-optimized HgPd structure.

Cell lengths 3.081, 3.081, 3.788 Å; angles 90.00, 90.00, 90.00 degrees
Element x y z (fractional)
Hg: 0.000 0.000 0.000
Pd: 0.500 0.500 0.500

Properties
Crystal system   tetragonal
E_tot   -5.82 eV per cell
Symmetry   P4/mmm, No. 123
ΔE_f   -0.17 eV/atom


DFT (PBE-GGA) results for a geometry-optimized B2Pd structure.

Cell lengths 4.260, 4.260, 4.260 Å; angles 60.00, 60.00, 60.00 degrees
Element x y z (fractional)
B: 0.000 0.000 0.000
B: 0.000 0.000 0.500
B: 0.000 0.500 0.000
B: 0.500 0.000 0.000
Pd: 0.375 0.375 0.375
Pd: 0.625 0.625 0.625

Properties
Crystal system   cubic
E_tot   -31.38 eV per cell
Symmetry   Fd-3m, No. 227


DFT (PBE-GGA) results for a geometry-optimized PmDyRe structure.

Cell lengths 6.797, 6.797, 6.797 Å; angles 90.00, 90.00, 90.00 degrees
Element x y z (fractional)
Pm: 0.000 0.000 0.000
Pm: 0.000 0.500 0.500
Pm: 0.500 0.000 0.500
Pm: 0.500 0.500 0.000
Dy: 0.250 0.250 0.250
Dy: 0.250 0.750 0.750
Dy: 0.750 0.250 0.750
Dy: 0.750 0.750 0.250
Re: 0.000 0.000 0.500
Re: 0.000 0.500 0.000
Re: 0.500 0.000 0.000
Re: 0.500 0.500 0.500

Properties
Crystal system   cubic
Size of the total moment   0.05 μB per cell
E_tot   -73.59 eV per cell
Symmetry   F-43m, No. 216
ΔE_f   1.12 eV/atom


For the records above, the corresponding calculated volume values read 121 36 55 314 Å³ per cell.